No. 1
SiTc2As, relaxed, DFT GGA-PBE; V = 59.9 Å³/cell; E_tot = -7.693 eV per atom
1.0
1.491 0.861 7.778
-1.491 0.861 7.778
0.000 -1.721 7.778
Si Tc As
1 2 1
direct
0.000 0.000 0.000
0.499 0.499 0.499
0.742 0.742 0.742
0.246 0.246 0.246

=====

No. 2
SiTc2As, relaxed, DFT GGA-PBE; V = 57.3 Å³/cell; E_tot = -7.883 eV per atom
1.0
2.986 0.000 0.000
0.000 4.476 0.000
0.000 0.000 4.285
Si Tc As
1 2 1
direct
0.000 0.000 0.000
0.000 0.500 0.714
0.500 0.000 0.497
0.500 0.500 0.197

=====

No. 3
Si2Tc2As, relaxed, DFT GGA-PBE; V = 146.8 Å³/cell; E_tot = -7.257 eV per atom
1.0
7.017 0.000 0.000
0.000 7.017 0.000
0.000 0.000 2.981
Si Tc As
4 4 2
direct
0.132 0.368 0.000
0.368 0.868 0.000
0.632 0.132 0.000
0.868 0.632 0.000
0.160 0.660 0.500
0.340 0.160 0.500
0.660 0.840 0.500
0.840 0.340 0.500
0.000 0.000 0.000
0.500 0.500 0.000

=====

What is the V in the third record? 146.8 Å³/cell

=====

The highest V belongs to which entry? Si2Tc2As

=====

Which of these has the highest V? Si2Tc2As